{"formula": "OsO", "functional": "GGA-PBE", "state": "relaxed", "lattice_angstrom": [[0.0000, 4.3812, 8.9601], [1.3176, 0.0000, 8.9601], [1.3176, 4.3812, 0.0000]], "species": ["Os", "Os", "Os", "Os", "O", "O", "O", "O"], "fractional_positions": [[0.0366, 0.0366, 0.2134], [0.2134, 0.2134, 0.0366], [0.7866, 0.7866, 0.9634], [0.9634, 0.9634, 0.7866], [0.0029, 0.7471, 0.0029], [0.2529, 0.9971, 0.2529], [0.7471, 0.0029, 0.7471], [0.9971, 0.2529, 0.9971]], "mass_density_g_cm3": 13.24, "e_tot_ev_per_atom": -7.7614, "crystal_system": "orthorhombic", "dos_at_fermi_per_ev_atom": 0.84}